Record 1
The following is a DFT calculation (PBE) of Ta2AgHg after structural relaxation.

Calculated values
Space group: Immm, No. 71
V (Å³ per atom): 18.40
Uncorrected energy (eV per atom): -6.333

```
4
Lattice="-2.007 2.016 4.550 2.007 -2.016 4.550 2.007 2.016 -4.550" Properties=species:S:1:pos:R:3 pbc="T T T"
Ta 0.000 0.000 2.275
Ta 0.000 0.000 6.824
Ag 0.000 2.016 0.000
Hg 2.007 0.000 0.000
```

Record 2
The following is a DFT calculation (PBE) of ErThRuSe after structural relaxation.

Calculated values
Space group: R3m, No. 160
ΔE_f (raw) (kJ per mole of atoms): -93.8
V (Å³ per atom): 25.27
Uncorrected energy (eV per atom): -7.158

```
4
Lattice="2.012 1.161 7.208 -2.012 1.161 7.208 0.000 -2.323 7.208" Properties=species:S:1:pos:R:3 pbc="T T T"
Er 0.000 0.000 0.000
Th 0.000 0.000 4.091
Ru 0.000 0.000 12.768
Se 0.000 0.000 16.329
```

Record 3
The following is a DFT calculation (PBE) of MgSc2P after structural relaxation.

Calculated values
Space group: I-42d, No. 122
V (Å³ per atom): 22.27
E above lowest polymorph (eV per formula unit): 1.492
Uncorrected energy (eV per atom): -5.252

```
8
Lattice="-3.817 3.817 3.057 3.817 -3.817 3.057 3.817 3.817 -3.057" Properties=species:S:1:pos:R:3 pbc="T T T"
Mg 0.000 0.000 0.000
Mg 0.000 3.817 1.528
Sc 1.909 2.301 -0.764
Sc 5.334 1.909 0.764
Sc 1.909 1.517 2.293
Sc -1.517 1.909 3.821
P 3.817 0.000 1.528
P 0.000 0.000 3.057
```

Record 4
The following is a DFT calculation (PBE) of TiCo2AgB after structural relaxation.

Calculated values
Space group: P4/mmm, No. 123
V (Å³ per atom): 17.55
Uncorrected energy (eV per atom): -4.440

```
5
Lattice="4.160 0.000 0.000 0.000 4.160 0.000 0.000 0.000 5.071" Properties=species:S:1:pos:R:3 pbc="T T T"
Ti 0.000 0.000 0.000
Co 0.000 2.080 0.000
Co 2.080 0.000 0.000
Ag 0.000 0.000 2.536
B 2.080 2.080 2.536
```

Record 5
The following is a DFT calculation (PBE) of LaHfAu2 after structural relaxation.

Calculated values
Space group: R-3m, No. 166
V (Å³ per atom): 24.91
E above lowest polymorph (eV per formula unit): 0.154
Uncorrected energy (eV per atom): -5.900

```
4
Lattice="2.365 1.365 5.143 -2.365 1.365 5.143 0.000 -2.731 5.143" Properties=species:S:1:pos:R:3 pbc="T T T"
La 0.000 0.000 0.000
Hf 0.000 0.000 7.714
Au 0.000 0.000 3.263
Au 0.000 0.000 12.164
```

Record 6
The following is a DFT calculation (PBE) of LiTe2IN after structural relaxation.

Calculated values
Space group: P4/mmm, No. 123
ΔE_f (raw) (kJ per mole of atoms): 86.8
V (Å³ per atom): 23.78
E above lowest polymorph (eV per formula unit): 2.003
Uncorrected energy (eV per atom): -2.714

```
5
Lattice="5.607 0.000 0.000 0.000 5.607 0.000 0.000 0.000 3.781" Properties=species:S:1:pos:R:3 pbc="T T T"
Li 0.000 0.000 0.000
Te 0.000 2.804 0.000
Te 2.804 0.000 0.000
I 2.804 2.804 1.891
N 0.000 0.000 1.891
```

Record 7
The following is a DFT calculation (PBE) of Pm2Tm2Sn5 after structural relaxation.

Calculated values
Space group: C2, No. 5
V (Å³ per atom): 28.65
Uncorrected energy (eV per atom): -4.844

```
18
Lattice="7.660 -3.475 0.000 7.660 3.475 0.000 -2.784 0.000 9.687" Properties=species:S:1:pos:R:3 pbc="T T T"
Pm 1.449 0.000 1.059
Pm 4.353 -0.103 3.450
Pm 8.183 -0.103 6.237
Pm 11.087 0.000 8.628
Tm 6.268 3.337 4.844
Tm 1.506 -0.030 7.097
Tm 7.660 -0.032 0.000
Tm 11.030 -0.030 2.590
Sn 3.859 1.652 6.004
Sn 6.133 1.951 1.827
Sn 6.403 1.951 7.860
Sn 8.677 1.652 3.683
Sn 4.143 -1.377 0.185
Sn 3.490 -2.145 5.696
Sn 6.525 -1.942 2.143
Sn 6.011 -1.942 7.544
Sn 8.393 -1.377 9.503
Sn 9.046 -2.145 3.991
```

Record 8
The following is a DFT calculation (PBE) of Hf2GaRu after structural relaxation.

Calculated values
Space group: P4/mmm, No. 123
V (Å³ per atom): 17.87
Uncorrected energy (eV per atom): -8.576

```
4
Lattice="3.309 0.000 0.000 0.000 3.309 0.000 0.000 0.000 6.527" Properties=species:S:1:pos:R:3 pbc="T T T"
Hf 0.000 0.000 1.565
Hf 0.000 0.000 4.963
Ga 1.655 1.655 3.264
Ru 1.655 1.655 0.000
```